Material: Sc2CoSb
Method: DFT, GGA-PBEsol
State: relaxed

The structure in extended XYZ format:
```
4
Lattice="0.000 3.316 3.316 3.316 0.000 3.316 3.316 3.316 0.000" Properties=species:S:1:pos:R:3 pbc="T T T"
Sc 1.658 1.658 1.658
Sc 4.974 4.974 4.974
Co 0.000 0.000 0.000
Sb 3.316 3.316 3.316
```

Calculated values
Formation energy (no corrections) (kJ/mol of atoms): -40
Space-group type: Fm-3m (225)


Material: CoSbSe2
Method: DFT, GGA-PBEsol
State: relaxed

The structure in extended XYZ format:
```
4
Lattice="2.930 0.000 0.000 0.000 2.930 0.000 0.000 0.000 9.028" Properties=species:S:1:pos:R:3 pbc="T T T"
Co 0.000 0.000 0.000
Sb 1.465 1.465 1.968
Se 0.000 0.000 4.846
Se 1.465 1.465 7.835
```

Calculated values
Formation energy (no corrections) (kJ/mol of atoms): 8
Space-group type: P4mm (99)


Material: CoSbSe3
Method: DFT, GGA-PBEsol
State: relaxed

The structure in extended XYZ format:
```
5
Lattice="5.196 0.000 0.000 0.000 5.196 0.000 0.000 0.000 5.196" Properties=species:S:1:pos:R:3 pbc="T T T"
Co 0.000 0.000 0.000
Sb 2.598 2.598 2.598
Se 0.000 2.598 2.598
Se 2.598 0.000 2.598
Se 2.598 2.598 0.000
```

Calculated values
Formation energy (no corrections) (kJ/mol of atoms): 105
Space-group type: Pm-3m (221)


no.,E_tot (eV/atom),DOS at the Fermi energy (states/eV/atom),volume (Å³/f.u.)
1,-6.7904,0.967,73
2,-4.9120,0.714,78
3,-3.6781,1.349,140